The following is a DFT calculation (GGA-PBE) of HoPaAu after structural relaxation.

Properties
E: -5.278 eV/atom

Lattice parameters (Å, degrees): 4.8772 4.8772 4.8772 60.00 60.00 60.00
Fractional positions:
Ho1 0.0000 0.0000 0.0000
Pa1 0.7500 0.7500 0.7500
Au1 0.5000 0.5000 0.5000